[1]
## NbNi2SbPt (PBE)

Data for an optimized crystal structure of NbNi2SbPt.

Structure (POSCAR):
```
NbNi2SbPt
1.0
-3.897 0.425 2.350
0.667 -4.517 1.925
2.308 1.830 3.495
Ni Sb Pt Nb
2 1 1 1
Cartesian
-1.949 0.213 1.175
1.154 0.915 1.748
-0.461 -1.131 3.885
0.334 -2.259 0.962
0.000 0.000 0.000
```

formation energy (no corrections): 0.9434 eV/atom
E above lowest polymorph: 0.0 meV/atom

[2]
## NbNi2SbPt (PBE)

Data for an optimized crystal structure of NbNi2SbPt.

Structure (POSCAR):
```
NbNi2SbPt
1.0
4.558 0.000 0.000
0.000 4.956 0.000
0.000 0.000 4.558
Sb Pt Ni Nb
1 1 2 1
Cartesian
0.000 2.478 0.000
0.000 0.000 0.000
0.000 0.000 2.279
2.279 0.000 0.000
2.279 2.478 2.279
```

formation energy (no corrections): 1.0466 eV/atom
E above lowest polymorph: 103.2 meV/atom

[3]
## Nb2NiSbPt (PBE)

Data for an optimized crystal structure of Nb2NiSbPt.

Structure (POSCAR):
```
Nb2NiSbPt
1.0
4.899 0.000 0.000
0.000 4.631 0.000
0.000 0.000 4.899
Nb Pt Ni Sb
2 1 1 1
Cartesian
2.450 0.000 0.000
0.000 0.000 2.450
0.000 0.000 0.000
0.000 2.316 0.000
2.450 2.316 2.450
```

formation energy (no corrections): 0.8012 eV/atom

[4]
## Sc2NbNiPt (PBE)

Data for an optimized crystal structure of Sc2NbNiPt.

Structure (POSCAR):
```
Sc2NbNiPt
1.0
-3.872 -1.127 2.836
-1.940 -2.320 -3.570
2.267 -4.130 1.453
Nb Ni Sc Pt
1 1 2 1
Cartesian
-1.772 -3.789 0.360
-0.970 -1.160 -1.785
-1.936 -0.564 1.418
1.133 -2.065 0.726
0.000 0.000 0.000
```

calculated formation energy: 2.22 eV per formula unit

Number 1: ρ 8.5 g/cm³. Number 2: ρ 8.5 g/cm³. Number 3: ρ 8.4 g/cm³. Number 4: ρ 6.4 g/cm³.